[1]
Density functional theory data (PBE) for SrBr2 after structural relaxation. Values from VASP.

```
&SYSTEM
  ibrav = 0, nat = 12, ntyp = 2
/
ATOMIC_SPECIES
Sr 87.62 Sr.upf
Br 79.90 Br.upf
ATOMIC_POSITIONS angstrom
Sr -9.2117 2.4694 -2.0452
Sr -5.2984 -4.4433 3.8162
Sr -4.8266 -0.3816 0.9605
Sr -9.6835 -1.5923 0.8105
Br -6.8198 -2.8096 1.4803
Br -7.6902 0.8358 0.2907
Br -3.5393 -1.9483 3.3070
Br -1.7886 -0.8147 -0.0511
Br -9.4194 -0.2808 3.6014
Br -10.9707 -0.0256 -1.5361
Br -12.7214 -1.1592 1.8221
Br -5.0907 -1.6930 -1.8304
CELL_PARAMETERS angstrom
-1.2785 -4.1440 -2.0654
-3.0745 -2.4340 6.7866
-10.1570 4.6041 -2.9502
```


[2]
Density functional theory data (PBE) for SrBr2 after structural relaxation. Values from VASP.

```
&SYSTEM
  ibrav = 0, nat = 3, ntyp = 2
/
ATOMIC_SPECIES
Sr 87.62 Sr.upf
Br 79.90 Br.upf
ATOMIC_POSITIONS angstrom
Sr 0.0000 0.0000 0.0000
Br -2.5571 0.5258 2.5445
Br -3.4616 -1.1398 0.0883
CELL_PARAMETERS angstrom
-2.9038 -4.0093 -2.0899
-0.1904 0.9873 5.2786
-2.9245 2.4079 -0.5559
```


[3]
Density functional theory data (PBE) for SrBr3 after structural relaxation. Values from VASP.

```
&SYSTEM
  ibrav = 0, nat = 4, ntyp = 2
/
ATOMIC_SPECIES
Sr 87.62 Sr.upf
Br 79.90 Br.upf
ATOMIC_POSITIONS angstrom
Sr 3.9187 3.9187 3.9187
Br 1.9593 1.9593 1.9593
Br 5.8780 5.8780 5.8780
Br 0.0000 0.0000 0.0000
CELL_PARAMETERS angstrom
0.0000 3.9187 3.9187
3.9187 0.0000 3.9187
3.9187 3.9187 0.0000
```


[4]
Density functional theory data (PBE) for SrBr3 after structural relaxation. Values from VASP.

```
&SYSTEM
  ibrav = 0, nat = 4, ntyp = 2
/
ATOMIC_SPECIES
Sr 87.62 Sr.upf
Br 79.90 Br.upf
ATOMIC_POSITIONS angstrom
Sr 0.0000 0.0000 0.0000
Br -0.5732 2.3175 2.7987
Br 2.3873 0.0111 2.7987
Br 1.8141 2.3286 0.0000
CELL_PARAMETERS angstrom
4.7746 0.0221 0.0000
-1.1464 4.6350 0.0000
0.0000 0.0000 5.5973
```


[5]
! Sr3Br PBE optimized geometry; values from VASP
&SYSTEM
  ibrav = 0, nat = 4, ntyp = 2
/
ATOMIC_SPECIES
Sr 87.62 Sr.upf
Br 79.90 Br.upf
ATOMIC_POSITIONS angstrom
Sr -1.2391 3.2446 2.0791
Sr 3.4731 -0.0012 2.0791
Sr 2.2340 3.2433 0.0000
Br 0.0000 0.0000 0.0000
CELL_PARAMETERS angstrom
6.9462 -0.0025 0.0000
-2.4783 6.4891 0.0000
0.0000 0.0000 4.1582
! Excess energy over the best structure of this formula in the dataset, eV per atom: 0.2903


[6]
Density functional theory data (PBE) for SrBr2 after structural relaxation. Values from VASP.

```
&SYSTEM
  ibrav = 0, nat = 6, ntyp = 2
/
ATOMIC_SPECIES
Br 79.90 Br.upf
Sr 87.62 Sr.upf
ATOMIC_POSITIONS angstrom
Br 1.0399 0.3380 0.5702
Br 7.9733 2.5917 4.1974
Br 4.4119 1.4341 1.9178
Br 4.6011 1.4956 5.5452
Sr 12.2220 3.9727 3.5584
Sr 9.2722 3.0139 7.1879
CELL_PARAMETERS angstrom
6.8981 0.0005 0.0000
5.5801 4.0554 0.0000
0.0019 0.0006 7.2558
```


[7]
Density functional theory data (PBE) for SrBr3 after structural relaxation. Values from VASP.

```
&SYSTEM
  ibrav = 0, nat = 8, ntyp = 2
/
ATOMIC_SPECIES
Br 79.90 Br.upf
Sr 87.62 Sr.upf
ATOMIC_POSITIONS angstrom
Br 2.2862 5.8181 0.0000
Br 0.0000 4.9573 2.8857
Br 0.0000 8.8332 1.4348
Br 0.0000 8.8332 4.3366
Br 2.2862 1.9423 4.3205
Br 2.2862 1.9423 1.4509
Sr 0.0000 3.6370 0.0000
Sr 2.2862 7.1385 2.8857
CELL_PARAMETERS angstrom
4.5724 0.0000 0.0000
0.0000 10.7755 0.0000
0.0000 0.0000 5.7714
```


[8]
! Sr3Br PBE optimized geometry; values from VASP
&SYSTEM
  ibrav = 0, nat = 8, ntyp = 2
/
ATOMIC_SPECIES
Sr 87.62 Sr.upf
Br 79.90 Br.upf
ATOMIC_POSITIONS angstrom
Sr -7.8123 -3.0298 2.8939
Sr -2.9679 -2.1538 -7.4911
Sr -8.2595 -3.8797 -1.4721
Sr -2.5207 -1.3038 -3.1251
Sr -5.6407 -4.5834 -4.8571
Sr -5.1395 -0.6002 0.2599
Br -5.6515 -1.4961 -3.9024
Br -5.1287 -3.6874 -0.6948
CELL_PARAMETERS angstrom
-1.7062 -2.5395 -9.0337
-6.0768 -5.6415 4.7131
-2.9972 2.9974 -0.2765
! Excess energy over the best structure of this formula in the dataset, eV per atom: 0.0691


[9]
Density functional theory data (PBE) for SrBr2 after structural relaxation. Values from VASP.

```
&SYSTEM
  ibrav = 0, nat = 12, ntyp = 2
/
ATOMIC_SPECIES
Sr 87.62 Sr.upf
Br 79.90 Br.upf
ATOMIC_POSITIONS angstrom
Sr -3.7443 -12.9389 6.3780
Sr -3.1545 -3.7116 5.4951
Sr -3.2077 -0.5300 3.5025
Sr -3.7974 -9.7573 4.3854
Br 0.0000 0.0000 0.0000
Br 0.1172 -7.0163 4.3943
Br -5.2271 -2.5477 3.8717
Br -1.7249 -10.9211 6.0088
Br -1.5017 -2.8400 3.3056
Br -2.8146 -0.9746 6.3191
Br -4.1373 -12.4943 3.5614
Br -5.4503 -10.6289 6.5749
CELL_PARAMETERS angstrom
-2.5328 3.5984 5.8131
-4.6537 -3.0346 -4.7212
0.2345 -14.0326 8.7886
```


[10]
! Sr4Br PBE optimized geometry; values from VASP
&SYSTEM
  ibrav = 0, nat = 5, ntyp = 2
/
ATOMIC_SPECIES
Sr 87.62 Sr.upf
Br 79.90 Br.upf
ATOMIC_POSITIONS angstrom
Sr -2.8249 -2.1274 0.7092
Sr -2.8857 -2.5530 -3.4618
Sr -2.9831 0.9310 -5.7923
Sr -2.9223 1.3566 -1.6213
Br 0.0000 0.0000 0.0000
CELL_PARAMETERS angstrom
-2.6320 -6.3687 3.6762
-0.7762 7.5775 -1.7267
-2.3998 -2.4052 -7.0327
! Excess energy over the best structure of this formula in the dataset, eV per atom: 0.0000


[11]
! Sr3Br2 PBE optimized geometry; values from VASP
&SYSTEM
  ibrav = 0, nat = 5, ntyp = 2
/
ATOMIC_SPECIES
Sr 87.62 Sr.upf
Br 79.90 Br.upf
ATOMIC_POSITIONS angstrom
Sr 0.0000 0.0000 0.0000
Sr 2.2269 -1.2857 8.8455
Sr 2.2269 1.2857 5.5835
Br 2.2269 -1.2857 1.6725
Br 2.2269 1.2857 12.7565
CELL_PARAMETERS angstrom
2.2269 -3.8571 0.0000
2.2269 3.8571 0.0000
0.0000 0.0000 14.4290
! Excess energy over the best structure of this formula in the dataset, eV per atom: 0.0000


[12]
Density functional theory data (PBE) for SrBr3 after structural relaxation. Values from VASP.

```
&SYSTEM
  ibrav = 0, nat = 16, ntyp = 2
/
ATOMIC_SPECIES
Sr 87.62 Sr.upf
Br 79.90 Br.upf
ATOMIC_POSITIONS angstrom
Sr 4.0506 6.6977 6.8030
Sr 0.2318 5.4508 2.2677
Sr 7.4059 2.6482 6.8030
Sr 3.5871 1.4013 2.2677
Br 1.2944 7.9652 6.8030
Br 5.1132 4.1833 2.2677
Br 2.5244 3.9157 6.8030
Br 6.3432 0.1338 2.2677
Br 5.3569 0.9518 8.4676
Br 1.5381 3.0977 0.6031
Br 6.0995 5.0013 5.1384
Br 2.2807 7.1472 3.9323
Br 2.2807 7.1472 0.6031
Br 6.0995 5.0013 8.4676
Br 1.5381 3.0977 3.9323
Br 5.3569 0.9518 5.1384
CELL_PARAMETERS angstrom
7.6377 0.0000 0.0000
0.0000 8.0990 0.0000
0.0000 0.0000 9.0707
```


| no. | calculated total energy (eV per atom) | E_form (uncorrected) (eV per atom) |
| --- | --- | --- |
| 1 | -3.803 | -2.13 |
| 2 | -3.086 | -1.41 |
| 3 | -2.897 | -1.22 |
| 4 | -2.992 | -1.32 |
| 5 | -2.113 | -0.43 |
| 6 | -3.737 | -2.06 |
| 7 | -3.249 | -1.57 |
| 8 | -2.335 | -0.65 |
| 9 | -3.127 | -1.45 |
| 10 | -2.172 | -0.49 |
| 11 | -2.815 | -1.14 |
| 12 | -3.098 | -1.42 |